1.
Crystalline LiTl2SbF6 at its relaxed geometry. Source: Alexandria, functional GGA-PBE.

Results
**Space group**: No. 225
**ΔE_f (raw)**: -2.221 eV/atom

Unit cell a=6.166 b=6.166 c=6.166 alpha=60.00 beta=60.00 gamma=60.00
Sites, in units of the cell vectors:
Li 0.000 0.000 0.000
Tl 0.250 0.250 0.250
Tl 0.750 0.750 0.750
Sb 0.500 0.500 0.500
F 0.246 0.246 0.754
F 0.246 0.754 0.246
F 0.246 0.754 0.754
F 0.754 0.246 0.246
F 0.754 0.246 0.754
F 0.754 0.754 0.246


2.
Crystalline Li2Tl3SbF9 at its relaxed geometry. Source: Alexandria, functional GGA-PBE.

Results
**Space group**: No. 164
**ΔE_f (raw)**: -2.241 eV/atom

Unit cell a=6.043 b=6.043 c=7.722 alpha=90.00 beta=90.00 gamma=120.00
Sites, in units of the cell vectors:
Li 0.333 0.667 0.122
Li 0.667 0.333 0.878
Tl 0.000 0.000 0.000
Tl 0.333 0.667 0.726
Tl 0.667 0.333 0.274
Sb 0.000 0.000 0.500
F 0.000 0.500 0.000
F 0.159 0.318 0.341
F 0.159 0.841 0.341
F 0.318 0.159 0.659
F 0.500 0.000 0.000
F 0.500 0.500 0.000
F 0.682 0.841 0.341
F 0.841 0.159 0.659
F 0.841 0.682 0.659


What calculated volume values result from the calculations? In sequence: 165.8; 244.2 Å³ per cell.
What magnetic moment values result from the calculations? In sequence: 0.0; 1.0 μB/cell.